(1)
VASP calculation (GGA-PBE) on crystalline Cs2UCl3F3 at its relaxed geometry.

CIF file:
```
data_Cs2UCl3F3
_chemical_formula_sum 'Cs2 U1 Cl3 F3'
_cell_length_a 8.4796
_cell_length_b 8.4796
_cell_length_c 3.7854
_cell_angle_alpha 90.00
_cell_angle_beta 90.00
_cell_angle_gamma 120.00
_symmetry_space_group_name_H-M 'P -6 2 m'
_symmetry_Int_Tables_number 189
_symmetry_space_group_name_Hall 'P -6 -2'
loop_
_atom_site_label
_atom_site_fract_x
_atom_site_fract_y
_atom_site_fract_z
Cs1 0.3333 0.6667 0.0000
U1 0.0000 0.0000 0.5000
Cl1 0.0000 0.6680 0.5000
F1 0.0000 0.1729 0.0000
```

Output
For the calculated volume, the calculation gives 235.71 Å³ per cell. For the uncorrected formation energy, the calculation gives -58.68 kcal/mol of atoms. The calculation puts the density of states at the Fermi level at 2.56 states/eV/f.u. For the spin magnetization, the calculation gives 2.0 μB per cell.

(2)
VASP calculation (GGA-PBE) on crystalline Cs2UCl4F2 at its relaxed geometry.

CIF file:
```
data_Cs2UCl4F2
_chemical_formula_sum 'Cs4 U2 Cl8 F4'
_cell_length_a 12.3586
_cell_length_b 7.9006
_cell_length_c 5.9568
_cell_angle_alpha 90.00
_cell_angle_beta 99.39
_cell_angle_gamma 90.00
_symmetry_space_group_name_H-M 'C 1 2/m 1'
_symmetry_Int_Tables_number 12
loop_
_symmetry_equiv_pos_as_xyz
'x,y,z'
'-x,-y,-z'
'-x,y,-z'
'x,-y,z'
'x+1/2,y+1/2,z'
'-x+1/2,-y+1/2,-z'
'-x+1/2,y+1/2,-z'
'x+1/2,-y+1/2,z'
loop_
_atom_site_label
_atom_site_fract_x
_atom_site_fract_y
_atom_site_fract_z
Cs1 0.1666 0.0000 0.3200
U1 0.0000 0.5000 0.0000
Cl1 0.0995 0.2533 0.7992
F1 0.1346 0.5000 0.2638
```

Output
For the calculated volume, the calculation gives 573.82 Å³ per cell. For the uncorrected formation energy, the calculation gives -56.01 kcal/mol of atoms. The calculation puts the density of states at the Fermi level at 1.00 states/eV/f.u. For the spin magnetization, the calculation gives 4.0 μB per cell.

(3)
VASP calculation (GGA-PBE) on crystalline Cs2UCl2F4 at its relaxed geometry.

CIF file:
```
data_Cs2UCl2F4
_chemical_formula_sum 'Cs4 U2 Cl4 F8'
_cell_length_a 13.6200
_cell_length_b 6.8036
_cell_length_c 5.5514
_cell_angle_alpha 90.00
_cell_angle_beta 94.05
_cell_angle_gamma 90.00
_symmetry_space_group_name_H-M 'C 1 2/m 1'
_symmetry_Int_Tables_number 12
loop_
_symmetry_equiv_pos_as_xyz
'x,y,z'
'-x,-y,-z'
'-x,y,-z'
'x,-y,z'
'x+1/2,y+1/2,z'
'-x+1/2,-y+1/2,-z'
'-x+1/2,y+1/2,-z'
'x+1/2,-y+1/2,z'
loop_
_atom_site_label
_atom_site_fract_x
_atom_site_fract_y
_atom_site_fract_z
Cs1 0.1442 0.0000 0.1466
U1 0.0000 0.5000 0.5000
Cl1 0.1838 0.5000 0.3261
F1 0.0451 0.2667 0.7433
```

Output
For the calculated volume, the calculation gives 513.13 Å³ per cell. For the uncorrected formation energy, the calculation gives -66.56 kcal/mol of atoms. The calculation puts the density of states at the Fermi level at 2.91 states/eV/f.u. For the spin magnetization, the calculation gives 4.0 μB per cell.